1.
This record from the Alexandria database describes a relaxed NiAgSbRh crystal. The functional is PBE.

Results
- total DFT energy (no corrections) (eV/atom) = -5.0686
- space group = F-43m, No. 216
- formation energy without anion corrections (meV per atom) = -42
- crystal system = cubic

POSCAR file:
```
NiAgSbRh
1.0
4.4747 0.0000 0.0000
2.2374 3.8752 0.0000
2.2374 1.2917 3.6536
Sb Rh Ag Ni
1 1 1 1
Direct
0.5000 0.5000 0.5000
0.2500 0.2500 0.2500
0.0000 0.0000 0.0000
0.7500 0.7500 0.7500
```



2.
This record from the Alexandria database describes a relaxed YHgBr2 crystal. The functional is PBE.

Results
- total DFT energy (no corrections) (eV/atom) = -3.3173
- space group = Fm-3m, No. 225
- formation energy without anion corrections (meV per atom) = -789
- crystal system = cubic
- relative energy among the computed polymorphs (eV/atom) = 0.393

POSCAR file:
```
YHgBr2
1.0
0.0000 3.7518 3.7518
3.7518 0.0000 3.7518
3.7518 3.7518 0.0000
Y Hg Br
1 1 2
Direct
0.0000 0.0000 0.0000
0.5000 0.5000 0.5000
0.2500 0.2500 0.2500
0.7500 0.7500 0.7500
```



3.
This record from the Alexandria database describes a relaxed MgSb2O2 crystal. The functional is PBE.

Results
- total DFT energy (no corrections) (eV/atom) = -4.4467
- space group = P4/mbm, No. 127
- formation energy without anion corrections (meV per atom) = -496
- crystal system = tetragonal
- relative energy among the computed polymorphs (eV/atom) = 0.501

POSCAR file:
```
MgSb2O2
1.0
-2.6338 -2.3131 7.6184
0.3658 -8.0511 -2.3180
3.0545 -0.1520 1.0098
Sb Mg O
4 2 4
Direct
0.2466 0.7466 0.0000
0.7466 0.7534 0.0000
0.7534 0.2534 0.0000
0.2534 0.2466 0.0000
0.0000 0.0000 0.0000
0.5000 0.5000 0.0000
0.1388 0.6388 0.5000
0.6388 0.8612 0.5000
0.8612 0.3612 0.5000
0.3612 0.1388 0.5000
```



4.
This record from the Alexandria database describes a relaxed Cr2CdBr crystal. The functional is PBE.

Results
- total DFT energy (no corrections) (eV/atom) = -4.8566
- space group = Immm, No. 71
- formation energy without anion corrections (meV per atom) = 602
- crystal system = orthorhombic
- relative energy among the computed polymorphs (eV/atom) = 0.356

POSCAR file:
```
Cr2CdBr
1.0
-0.7045 2.9703 -4.7718
-5.5130 1.2095 -0.4820
4.7266 0.8061 3.0164
Br Cd Cr
1 1 2
Direct
0.7500 0.2500 0.5000
0.2500 0.7500 0.5000
0.9867 0.9867 0.0000
0.5133 0.5133 0.0000
```